Compound: SmNbAs2
Source: Alexandria
Functional: PBE-GGA
Structure: relaxed

Results
E_form (eV/f.u.): -3.6
Spin magnetization (μB/atom): 0.00
Space-group type: R-3m, No. 166
Total DFT energy (no corrections) (eV for the cell shown): -27.69

a b c (Å): 3.928 3.928 6.887
angles (deg): 73.43 73.43 60.00
Element x y z (fractional)
Nb: 0.000 0.000 0.000
As: 0.260 0.260 0.221
As: 0.740 0.740 0.779
Sm: 0.500 0.500 0.500

Compound: Na2TlCu2
Source: Alexandria
Functional: PBE-GGA
Structure: relaxed

Results
Energy relative to the lowest polymorph listed for this composition (meV/atom): 0
E_form (eV/f.u.): 0.8
Spin magnetization (μB/atom): 0.00
Space-group type: P4/mbm, No. 127
Total DFT energy (no corrections) (eV for the cell shown): -24.80

a b c (Å): 6.951 6.951 4.578
angles (deg): 90.00 90.00 90.00
Element x y z (fractional)
Na: 0.172 0.672 0.500
Na: 0.672 0.828 0.500
Na: 0.828 0.328 0.500
Na: 0.328 0.172 0.500
Tl: 0.000 0.000 0.000
Tl: 0.500 0.500 0.000
Cu: 0.377 0.877 0.000
Cu: 0.877 0.623 0.000
Cu: 0.623 0.123 0.000
Cu: 0.123 0.377 0.000

Compound: CeAlCd
Source: Alexandria
Functional: PBE-GGA
Structure: relaxed

Results
E_form (eV/f.u.): -0.8
Spin magnetization (μB/atom): 0.45
Space-group type: Imm2, No. 44
Total DFT energy (no corrections) (eV for the cell shown): -22.85

a b c (Å): 4.837 6.005 6.005
angles (deg): 73.38 113.74 113.74
Each line ends with the local moment (μB).
Element x y z (fractional)
Ce: 0.675 0.175 0.175  0.97
Ce: 0.643 0.643 0.643  0.92
Al: 0.326 0.618 0.034  0.00
Al: 0.326 0.034 0.618  0.00
Cd: 0.994 0.763 0.224  0.02
Cd: 0.994 0.224 0.763  0.02